# 1
Here is a geometry-optimized ErGaI4 structure from Alexandria via LeMat-Bulk. Energies are from GGA-PBE.

Calculated values
Density (g/cm³): 4.49
Formation energy (no corrections) (kJ/mol of atoms): -99.39

The structure in CIF format:
```
data_ErGaI4
_chemical_formula_sum 'Er2 Ga2 I8'
_cell_length_a 16.933
_cell_length_b 4.437
_cell_length_c 8.169
_cell_angle_alpha 90.00
_cell_angle_beta 116.17
_cell_angle_gamma 90.00
_symmetry_space_group_name_H-M 'C 1 2/m 1'
_symmetry_Int_Tables_number 12
loop_
_symmetry_equiv_pos_as_xyz
'x,y,z'
'-x,-y,-z'
'-x,y,-z'
'x,-y,z'
'x+1/2,y+1/2,z'
'-x+1/2,-y+1/2,-z'
'-x+1/2,y+1/2,-z'
'x+1/2,-y+1/2,z'
loop_
_atom_site_label
_atom_site_type_symbol
_atom_site_fract_x
_atom_site_fract_y
_atom_site_fract_z
Er1 Er 0.000 0.000 0.000
Ga1 Ga 0.000 0.500 0.500
I1 I 0.113 0.000 0.808
I2 I 0.114 0.500 0.254
```



# 2
Here is a geometry-optimized ErGaI structure from Alexandria via LeMat-Bulk. Energies are from GGA-PBE.

Calculated values
Density (g/cm³): 6.25
Formation energy (no corrections) (kJ/mol of atoms): -56.82

The structure in CIF format:
```
data_ErGaI
_chemical_formula_sum 'Er2 Ga2 I2'
_cell_length_a 3.850
_cell_length_b 3.851
_cell_length_c 15.062
_cell_angle_alpha 89.30
_cell_angle_beta 89.60
_cell_angle_gamma 60.02
_symmetry_space_group_name_H-M 'P 1'
_symmetry_Int_Tables_number 1
loop_
_symmetry_equiv_pos_as_xyz
'x,y,z'
loop_
_atom_site_label
_atom_site_type_symbol
_atom_site_fract_x
_atom_site_fract_y
_atom_site_fract_z
Er1 Er 0.000 0.000 0.000
Er2 Er 0.023 0.036 0.570
Ga1 Ga 0.668 0.673 0.868
Ga2 Ga 0.689 0.697 0.705
I1 I 0.333 0.327 0.141
I2 I 0.691 0.710 0.427
```



# 3
Here is a geometry-optimized Er2GaI structure from Alexandria via LeMat-Bulk. Energies are from GGA-PBE.

Calculated values
Density (g/cm³): 7.69
Formation energy (no corrections) (kJ/mol of atoms): -62.75

The structure in CIF format:
```
data_Er2GaI
_chemical_formula_sum 'Er6 Ga3 I3'
_cell_length_a 4.2492
_cell_length_b 4.2492
_cell_length_c 22.0029
_cell_angle_alpha 90.00
_cell_angle_beta 90.00
_cell_angle_gamma 120.00
_symmetry_space_group_name_H-M 'R -3 m'
_symmetry_Int_Tables_number 166
_symmetry_space_group_name_Hall '-R 3 2"'
loop_
_atom_site_label
_atom_site_type_symbol
_atom_site_fract_x
_atom_site_fract_y
_atom_site_fract_z
Er1 Er 0.0000 0.0000 0.2320
Ga1 Ga 0.0000 0.0000 0.5000
I1 I 0.0000 0.0000 0.0000
```



# 4
Here is a geometry-optimized ErGa3I6 structure from Alexandria via LeMat-Bulk. Energies are from GGA-PBE.

Calculated values
Density (g/cm³): 4.67
Formation energy (no corrections) (kJ/mol of atoms): -71.61

The structure in CIF format:
```
data_ErGa3I6
_chemical_formula_sum 'Er2 Ga6 I12'
_cell_length_a 7.833
_cell_length_b 8.878
_cell_length_c 13.714
_cell_angle_alpha 90.00
_cell_angle_beta 121.94
_cell_angle_gamma 90.00
_symmetry_space_group_name_H-M 'P 1 21/c 1'
_symmetry_Int_Tables_number 14
loop_
_symmetry_equiv_pos_as_xyz
'x,y,z'
'-x,-y,-z'
'-x,y+1/2,-z+1/2'
'x,-y+1/2,z+1/2'
loop_
_atom_site_label
_atom_site_type_symbol
_atom_site_fract_x
_atom_site_fract_y
_atom_site_fract_z
Er1 Er 0.000 0.000 0.000
Ga1 Ga 0.323 0.110 0.806
Ga2 Ga 0.500 0.000 0.500
I1 I 0.095 0.057 0.241
I2 I 0.246 0.713 0.081
I3 I 0.371 0.172 0.050
```